The following is a DFT calculation (PBE) of crystalline Ca2CdHg at its relaxed geometry.

```
Ca2CdHg
1.0
1.993 1.150 9.136
-1.993 1.150 9.136
0.000 -2.301 9.136
Ca Cd Hg
2 1 1
Cartesian
0.000 0.000 0.000
0.000 0.000 4.736
0.000 0.000 11.507
0.000 0.000 16.073
```

Output
- Energy above the most stable polymorph in this dataset: 16.1 kJ/mol of atoms
- Total moment: 0.0 μB/f.u.
- Symmetry: R3m, No. 160
- Energy: -6.37 eV per formula unit
- Formation enthalpy at 0 K: -6.63 kcal/mol of atoms